A plane-wave DFT calculation with meta-GGA SCAN was carried out for a crystal of Ba2CoBr relaxed with PBEsol.

Computed properties:
Its formation energy without anion corrections is -0.567 eV/atom. As for the space group: No. 12. The value obtained for the electronic total energy is -29.5327 eV/atom. The calculation puts the offset from the most stable computed form at 0.032 eV per formula unit.

a b c (Å): 4.319 4.319 8.656
angles (deg): 104.68 104.68 60.45
Element x y z (fractional)
Ba (0.238, 0.238, 0.217)
Ba (0.762, 0.762, 0.783)
Co (0.500, 0.500, 0.000)
Br (0.000, 0.000, 0.500)